## a
An optimized crystal structure of Cu2Ag, computed with PBE.

The structure belongs to space group I4mm (No. 107); the cell edges are 2.7620, 2.7620 and 32.6649 Å and the angles 90.00°, 90.00° and 90.00°. The distinct sites, in fractional coordinates, are Cu at (0.0000, 0.0000, 0.0000), Cu at (0.0000, 0.0000, 0.0973), Cu at (0.0000, 0.0000, 0.3328), Cu at (0.0000, 0.0000, 0.4512), Cu at (0.0000, 0.0000, 0.5488), Cu at (0.0000, 0.0000, 0.6460), Ag at (0.0000, 0.0000, 0.2052), Ag at (0.0000, 0.0000, 0.7738) and Ag at (0.0000, 0.0000, 0.8919).

---

## b
An optimized crystal structure of Cu2Ag, computed with PBE.

The structure belongs to space group C2/m (No. 12); the cell edges are 13.8250, 2.7438 and 6.6192 Å and the angles 90.00°, 91.71° and 90.00°. The distinct sites, in fractional coordinates, are Cu at (0.0614, 0.0000, 0.3310), Cu at (0.1740, 0.0000, 0.0125), Cu at (0.2176, 0.5000, 0.3280), Ag at (0.0000, 0.5000, 0.0000) and Ag at (0.1145, 0.5000, 0.6654).

---

Which structure loses on stability? b does.

---

## a
An optimized crystal structure of Cu2Ag, computed with PBE.

The structure belongs to space group Cm (No. 8); the cell edges are 11.3644, 2.7376 and 8.2911 Å and the angles 90.00°, 103.96° and 90.00°. The distinct sites, in fractional coordinates, are Cu at (0.0000, 0.0000, 0.0000), Cu at (0.0031, 0.0000, 0.3331), Cu at (0.1571, 0.5000, 0.2187), Cu at (0.3406, 0.0000, 0.4355), Cu at (0.3488, 0.0000, 0.7795), Cu at (0.4879, 0.5000, 0.6488), Ag at (0.1586, 0.5000, 0.8758), Ag at (0.1742, 0.5000, 0.5480) and Ag at (0.3352, 0.0000, 0.1151).

---

## b
An optimized crystal structure of Cu2Ag, computed with PBE.

The structure belongs to space group I4/mmm (No. 139); the cell edges are 2.7801, 2.7801 and 32.2731 Å and the angles 90.00°, 90.00° and 90.00°. The distinct sites, in fractional coordinates, are Cu at (0.0000, 0.0000, 0.1281), Cu at (0.0000, 0.0000, 0.2255), Cu at (0.0000, 0.0000, 0.3233), Ag at (0.0000, 0.0000, 0.0000) and Ag at (0.0000, 0.0000, 0.4313).

---

Which structure loses on stability? a does.

---

## a
An optimized crystal structure of CdTePdO, computed with PBE.

The structure belongs to space group Cmc2_1 (No. 36); the cell edges are 3.7302, 14.5067 and 5.9272 Å and the angles 90.00°, 90.00° and 90.00°. The distinct sites, in fractional coordinates, are Cd at (0.0000, 0.0419, 0.0000), Te at (0.0000, 0.3104, 0.3147), Pd at (0.0000, 0.3183, 0.8425) and O at (0.0000, 0.0912, 0.3445).

---

## b
An optimized crystal structure of CdTePdO, computed with PBE.

The structure belongs to space group Pca2_1 (No. 29); the cell edges are 6.3654, 7.4633 and 6.2516 Å and the angles 90.00°, 90.00° and 90.00°. The distinct sites, in fractional coordinates, are Cd at (0.0820, 0.0858, 0.0000), Te at (0.0906, 0.3715, 0.5277), Pd at (0.2309, 0.6521, 0.3085) and O at (0.1901, 0.9298, 0.7165).

---

Which structure loses on stability? a does.

---

## a
An optimized crystal structure of NaHoCdTe3, computed with PBE.

The structure belongs to space group Pnma (No. 62); the cell edges are 11.6680, 4.3852 and 14.7743 Å and the angles 90.00°, 90.00° and 90.00°. The distinct sites, in fractional coordinates, are Na at (0.2311, 0.2500, 0.0198), Ho at (0.0114, 0.7500, 0.7462), Cd at (0.2404, 0.7500, 0.2220), Te at (0.0433, 0.7500, 0.1127), Te at (0.0688, 0.2500, 0.6066) and Te at (0.2389, 0.2500, 0.3441).

---

## b
An optimized crystal structure of NaHoCdTe3, computed with PBE.

The structure belongs to space group Pnma (No. 62); the cell edges are 8.6430, 4.5035 and 18.7627 Å and the angles 90.00°, 90.00° and 90.00°. The distinct sites, in fractional coordinates, are Na at (0.0618, 0.2500, 0.1967), Ho at (0.2293, 0.2500, 0.9612), Cd at (0.0657, 0.2500, 0.6641), Te at (0.0078, 0.2500, 0.4256), Te at (0.1265, 0.7500, 0.0643) and Te at (0.2274, 0.2500, 0.7930).

---

Which structure loses on stability? b does.

---

## a
An optimized crystal structure of ReW2, computed with PBE.

The structure belongs to space group P4_2/mnm (No. 136); the cell edges are 9.7095, 9.7095 and 5.0590 Å and the angles 90.00°, 90.00° and 90.00°. The distinct sites, in fractional coordinates, are Re at (0.0000, 0.0000, 0.0000), Re at (0.0665, 0.2588, 0.0000), W at (0.0358, 0.3698, 0.5000), W at (0.1013, 0.1013, 0.5000) and W at (0.1829, 0.8171, 0.2506).

---

## b
An optimized crystal structure of ReW2, computed with PBE.

The structure belongs to space group P4_2/mnm (No. 136); the cell edges are 9.7090, 9.7090 and 5.0755 Å and the angles 90.00°, 90.00° and 90.00°. The distinct sites, in fractional coordinates, are Re at (0.0000, 0.0000, 0.0000), Re at (0.1839, 0.1839, 0.2533), W at (0.0371, 0.6307, 0.5000), W at (0.0642, 0.7417, 0.0000) and W at (0.0998, 0.9002, 0.5000).

---

Which structure loses on stability? b does.

---

## a
An optimized crystal structure of TePtPbO, computed with PBE.

The structure belongs to space group Pbca (No. 61); the cell edges are 6.8029, 11.1491 and 9.5260 Å and the angles 90.00°, 90.00° and 90.00°. The distinct sites, in fractional coordinates, are Te at (0.9998, 0.0550, 0.2493), Pt at (0.0012, 0.1992, 0.7500), Pb at (0.2486, 0.6384, 0.9843) and O at (0.2491, 0.6939, 0.6276).

---

## b
An optimized crystal structure of TePtPbO, computed with PBE.

The structure belongs to space group P4/nmm (No. 129, origin choice 2); the cell edges are 4.6754, 4.6754 and 8.5743 Å and the angles 90.00°, 90.00° and 90.00°. The distinct sites, in fractional coordinates, are Te at (0.2500, 0.7500, 0.0000), Pt at (0.2500, 0.2500, 0.1531), Pb at (0.2500, 0.2500, 0.6510) and O at (0.2500, 0.2500, 0.4076).

---

Which structure loses on stability? b does.

---

## a
An optimized crystal structure of TbScAsO, computed with PBE.

The structure belongs to space group P4/nmm (No. 129, origin choice 2); the cell edges are 4.2998, 4.2998 and 8.3818 Å and the angles 90.00°, 90.00° and 90.00°. The distinct sites, in fractional coordinates, are Tb at (0.2500, 0.7500, 0.0000), Sc at (0.2500, 0.2500, 0.4322), As at (0.2500, 0.2500, 0.7817) and O at (0.2500, 0.7500, 0.5000).

---

## b
An optimized crystal structure of TbScAsO, computed with PBE.

The structure belongs to space group Pmc2_1 (No. 26); the cell edges are 4.1991, 6.9334 and 5.9309 Å and the angles 90.00°, 90.00° and 90.00°. The distinct sites, in fractional coordinates, are Tb at (0.0000, 0.2046, 0.0000), Sc at (0.5000, 0.4008, 0.6109), As at (0.0000, 0.2016, 0.4921) and O at (0.5000, 0.3362, 0.9520).

---

Which structure loses on stability? a does.

---

## a
An optimized crystal structure of SmBeGa, computed with PBE.

The structure belongs to space group F-43m (No. 216); the cell edges are 6.5930, 6.5930 and 6.5930 Å and the angles 90.00°, 90.00° and 90.00°. The distinct sites, in fractional coordinates, are Sm at (0.0000, 0.0000, 0.0000), Be at (0.2500, 0.2500, 0.7500) and Ga at (0.2500, 0.2500, 0.2500).

---

## b
An optimized crystal structure of SmBeGa, computed with PBE.

The structure belongs to space group F-43m (No. 216); the cell edges are 6.2036, 6.2036 and 6.2036 Å and the angles 90.00°, 90.00° and 90.00°. The distinct sites, in fractional coordinates, are Sm at (0.0000, 0.0000, 0.0000), Be at (0.2500, 0.2500, 0.7500) and Ga at (0.0000, 0.0000, 0.5000).

---

Which structure loses on stability? a does.

---

## a
An optimized crystal structure of ZrB4Pd, computed with PBE.

The structure belongs to space group Immm (No. 71); the cell edges are 3.1140, 5.2912 and 7.3246 Å and the angles 90.00°, 90.00° and 90.00°. The distinct sites, in fractional coordinates, are Zr at (0.0000, 0.0000, 0.0000), B at (0.0000, 0.3190, 0.2621) and Pd at (0.0000, 0.0000, 0.5000).

---

## b
An optimized crystal structure of ZrB4Pd, computed with PBE.

The structure belongs to space group P6/mmm (No. 191); the cell edges are 3.1661, 3.1661 and 6.7495 Å and the angles 90.00°, 90.00° and 120.00°. The distinct sites, in fractional coordinates, are Zr at (0.0000, 0.0000, 0.0000), B at (0.3333, 0.6667, 0.2527) and Pd at (0.0000, 0.0000, 0.5000).

---

Which structure loses on stability? a does.

---

## a
An optimized crystal structure of AcZnSn, computed with PBE.

The structure belongs to space group F-43m (No. 216); the cell edges are 7.5537, 7.5537 and 7.5537 Å and the angles 90.00°, 90.00° and 90.00°. The distinct sites, in fractional coordinates, are Ac at (0.0000, 0.0000, 0.0000), Zn at (0.2500, 0.2500, 0.2500) and Sn at (0.2500, 0.2500, 0.7500).

---

## b
An optimized crystal structure of AcZnSn, computed with PBE.

The structure belongs to space group P3m1 (No. 156); the cell edges are 4.6137, 4.6137 and 4.6771 Å and the angles 90.00°, 90.00° and 120.00°. The distinct sites, in fractional coordinates, are Ac at (0.0000, 0.0000, 0.0000), Zn at (0.3333, 0.6667, 0.5056) and Sn at (0.6667, 0.3333, 0.4985).

---

Which structure loses on stability? a does.